[1]
This record from Alexandria via LeMat-Bulk describes a geometry-optimized Na3SrSn structure. The functional is PBE-GGA.

```
Na3SrSn
1.0
5.9138 0.0000 0.0000
0.0000 5.9138 0.0000
0.0000 0.0000 5.9138
Na Sr Sn
3 1 1
direct
0.0000 0.0000 0.5000
0.0000 0.5000 0.0000
0.5000 0.0000 0.0000
0.5000 0.5000 0.5000
0.0000 0.0000 0.0000
```

The formation energy comes out at 0.044 eV per atom. The spin magnetization is 0.0 μB per formula unit. Its calculated volume is 206.8 Å³/cell. Its total energy is -1.88 eV/atom. For the energy above the lowest structure with this stoichiometry, the calculation gives 25.8 kJ/mol of atoms. The density of states at the Fermi level is 2.4 states/eV/cell.

[2]
This record from Alexandria via LeMat-Bulk describes a geometry-optimized Tb4Pr5Ho2 structure. The functional is PBE-GGA.

```
Tb4Pr5Ho2
1.0
12.0201 -1.8190 0.0000
12.0201 1.8190 0.0000
-3.5824 0.0000 8.6776
Tb Pr Ho
4 5 2
direct
0.0442 0.0442 0.2014
0.3148 0.3148 0.6762
0.6852 0.6852 0.3238
0.9558 0.9558 0.7986
0.1138 0.1138 0.9260
0.1345 0.1345 0.5681
0.5000 0.5000 0.5000
0.8655 0.8655 0.4319
0.8862 0.8862 0.0740
0.2665 0.2665 0.1550
0.7335 0.7335 0.8450
```

The formation energy comes out at 0.129 eV per atom. The spin magnetization is 0.0 μB per formula unit. Its calculated volume is 379.5 Å³/cell. Its total energy is -4.56 eV/atom. For the energy above the lowest structure with this stoichiometry, the calculation gives 0.0 kJ/mol of atoms. The density of states at the Fermi level is 15.3 states/eV/cell.

[3]
This record from Alexandria via LeMat-Bulk describes a geometry-optimized KYCo2Pb structure. The functional is PBE-GGA.

```
KYCo2Pb
1.0
5.1268 0.0000 0.0000
0.0000 5.1268 0.0000
0.0000 0.0000 6.0044
K Y Co Pb
1 1 2 1
direct
0.0000 0.0000 0.0000
0.5000 0.5000 0.5000
0.0000 0.5000 0.5000
0.5000 0.0000 0.5000
0.5000 0.5000 0.0000
```

The formation energy comes out at 1.056 eV per atom. The spin magnetization is 3.0 μB per formula unit. Its calculated volume is 157.8 Å³/cell. Its total energy is -4.04 eV/atom. The density of states at the Fermi level is 6.1 states/eV/cell.

[4]
This record from Alexandria via LeMat-Bulk describes a geometry-optimized LaPr2ErTl2 structure. The functional is PBE-GGA.

```
LaPr2ErTl2
1.0
5.2547 0.0000 0.0000
0.0000 10.3164 0.0000
0.0000 0.0000 7.0206
La Pr Er Tl
2 4 2 4
direct
0.0000 0.0457 0.0000
0.0000 0.9543 0.5000
0.0000 0.3182 0.3750
0.0000 0.6818 0.8750
0.5000 0.4516 0.0976
0.5000 0.5484 0.5976
0.5000 0.1917 0.7161
0.5000 0.8083 0.2161
0.0000 0.3566 0.8373
0.0000 0.6434 0.3373
0.5000 0.1260 0.2672
0.5000 0.8740 0.7672
```

The formation energy comes out at -0.270 eV per atom. The spin magnetization is 0.0 μB per formula unit. Its calculated volume is 380.6 Å³/cell. Its total energy is -4.23 eV/atom. The density of states at the Fermi level is 14.2 states/eV/cell.